A PBEsol-optimized structure of Ru2WBr, computed with SCAN.

a b c (Å): 3.8185 3.8185 8.2169
angles (deg): 90.00 90.00 90.00
Space group I-4m2 (No. 119)
Symmetry-distinct sites (fractional):
Ru: 0.0000 0.0000 0.0000 x2
Ru: 0.0000 0.5000 0.2500 x2
W: 0.0000 0.0000 0.5000 x2
Br: 0.0000 0.5000 0.7500 x2

offset from the most stable computed form = 152.5 meV/atom
density = 12.9 g/cm3
ΔE_f (raw) = 1.238 eV/atom
D(E_F) = 5.0 states/eV/f.u.


A PBEsol-optimized structure of Dy5NiPb3, computed with SCAN.

a b c (Å): 9.0349 9.0349 6.5676
angles (deg): 90.00 90.00 120.00
Space group P6_3/mcm (No. 193)
Symmetry-distinct sites (fractional):
Dy: 0.0000 0.2395 0.2500 x6
Dy: 0.3333 0.6667 0.0000 x4
Ni: 0.0000 0.0000 0.0000 x2
Pb: 0.0000 0.3990 0.7500 x6

energy relative to the elements = -719 meV per atom
density = 10.7 g/cm3
D(E_F) = 5.5 states/eV/f.u.


A PBEsol-optimized structure of LiV3O8, computed with SCAN.

a b c (Å): 6.6711 3.5508 11.6717
angles (deg): 90.00 104.46 90.00
Space group P2_1/m (No. 11)
Symmetry-distinct sites (fractional):
Li: 0.1838 0.2500 0.1820 x2
V: 0.1277 0.7500 0.4190 x2
V: 0.2700 0.7500 0.6930 x2
V: 0.3048 0.7500 0.9609 x2
O: 0.0511 0.2500 0.4292 x2
O: 0.1258 0.7500 0.8251 x2
O: 0.1758 0.7500 0.0614 x2
O: 0.1828 0.2500 0.6751 x2
O: 0.2329 0.7500 0.3088 x2
O: 0.3306 0.7500 0.5482 x2
O: 0.3932 0.2500 0.9584 x2
O: 0.4985 0.7500 0.7806 x2

offset from the most stable computed form = 0.0 meV/atom
density = 3.6 g/cm3
ΔE_f (raw) = -2.516 eV/atom
D(E_F) = 0.0 states/eV/f.u.


A PBEsol-optimized structure of Zn2FeSb, computed with SCAN.

a b c (Å): 3.7978 3.2321 10.1771
angles (deg): 90.00 90.00 90.00
Space group Amm2 (No. 38)
Symmetry-distinct sites (fractional):
Zn: 0.0000 0.0000 0.0000 x2
Zn: 0.5000 0.0000 0.4381 x2
Fe: 0.0000 0.0000 0.2834 x2
Sb: 0.5000 0.0000 0.6993 x2

density = 8.2 g/cm3
ΔE_f (raw) = 0.212 eV/atom
D(E_F) = 1.6 states/eV/f.u.


A PBEsol-optimized structure of ScTlCr2, computed with SCAN.

a b c (Å): 3.1659 3.7408 6.0822
angles (deg): 90.00 90.00 90.00
Space group Pmmm (No. 47)
Symmetry-distinct sites (fractional):
Sc: 0.0000 0.0000 0.0000 x1
Tl: 0.0000 0.0000 0.5000 x1
Cr: 0.5000 0.5000 0.2492 x2

energy relative to the elements = 207 meV per atom
density = 8.1 g/cm3
D(E_F) = 2.6 states/eV/f.u.


A PBEsol-optimized structure of Rb3TbF6, computed with SCAN.

a b c (Å): 7.0336 7.0336 9.5172
angles (deg): 90.00 90.00 90.00
Space group I4/mmm (No. 139)
Symmetry-distinct sites (fractional):
Rb: 0.0000 0.0000 0.0000 x2
Rb: 0.0000 0.5000 0.2500 x4
Tb: 0.0000 0.0000 0.5000 x2
F: 0.0000 0.0000 0.2689 x4
F: 0.0000 0.3074 0.5000 x8

density = 3.7 g/cm3
ΔE_f (raw) = -3.409 eV/atom
D(E_F) = 0.0 states/eV/f.u.